LaFe4As after structural relaxation, computed with PBE.

Results
The value obtained for the formation energy is 107.5 meV per atom. The spin magnetization is 10.12 μB/cell.

Unit cell a=5.141 b=5.141 c=5.141 alpha=60.00 beta=60.00 gamma=60.00
Element x y z (fractional)
La 0.000 0.000 0.000
Fe 0.122 0.626 0.626
Fe 0.626 0.122 0.626
Fe 0.626 0.626 0.122
Fe 0.626 0.626 0.626
As 0.250 0.250 0.250

---

LaFe4As12 after structural relaxation, computed with PBE.

Results
The value obtained for the formation energy is -408.4 meV per atom. The spin magnetization is 0.98 μB/cell.

Unit cell a=7.242 b=7.242 c=7.242 alpha=109.47 beta=109.47 gamma=109.47
Element x y z (fractional)
La 0.000 0.000 0.000
Fe 0.000 0.000 0.500
Fe 0.000 0.500 0.000
Fe 0.500 0.000 0.000
Fe 0.500 0.500 0.500
As 0.157 0.344 0.500
As 0.157 0.656 0.813
As 0.187 0.843 0.344
As 0.344 0.187 0.843
As 0.344 0.500 0.157
As 0.500 0.157 0.344
As 0.500 0.843 0.656
As 0.656 0.500 0.843
As 0.656 0.813 0.157
As 0.813 0.157 0.656
As 0.843 0.344 0.187
As 0.843 0.656 0.500

---

La2FeAs after structural relaxation, computed with PBE.

Results
The value obtained for the formation energy is -433.5 meV per atom. The spin magnetization is 1.52 μB/cell.

Unit cell a=5.058 b=5.058 c=3.851 alpha=90.00 beta=90.00 gamma=90.00
Element x y z (fractional)
La 0.000 0.500 0.000
La 0.500 0.000 0.000
Fe 0.000 0.000 0.500
As 0.500 0.500 0.500

---

La2FeAs after structural relaxation, computed with PBE.

Results
The value obtained for the formation energy is -370.1 meV per atom. The spin magnetization is 1.37 μB/cell.

Unit cell a=7.792 b=7.792 c=7.792 alpha=31.22 beta=31.22 gamma=31.22
Element x y z (fractional)
La 0.249 0.249 0.249
La 0.751 0.751 0.751
Fe 0.000 0.000 0.000
As 0.500 0.500 0.500

---

La2FeAs2 after structural relaxation, computed with PBE.

Results
The excess energy over the best structure of this formula in the dataset is 233 meV per atom. The value obtained for the formation energy is -510.5 meV per atom. The spin magnetization is 2.37 μB/cell.

Unit cell a=5.988 b=5.988 c=5.988 alpha=119.76 beta=119.76 gamma=90.42
Element x y z (fractional)
La 0.250 0.750 0.500
La 0.750 0.250 0.500
Fe 0.000 0.000 0.000
As 0.278 0.278 0.000
As 0.722 0.722 0.000

---

LaFeAs4 after structural relaxation, computed with PBE.

Results
The value obtained for the formation energy is 76.1 meV per atom. The spin magnetization is 3.05 μB/cell.

Unit cell a=5.638 b=5.638 c=5.638 alpha=60.00 beta=60.00 gamma=60.00
Element x y z (fractional)
La 0.000 0.000 0.000
Fe 0.250 0.250 0.250
As 0.133 0.622 0.622
As 0.622 0.133 0.622
As 0.622 0.622 0.133
As 0.622 0.622 0.622

---

La2FeAs after structural relaxation, computed with PBE.

Results
The value obtained for the formation energy is -220.9 meV per atom. The spin magnetization is 0.00 μB/cell.

Unit cell a=6.326 b=6.326 c=6.326 alpha=104.59 beta=104.59 gamma=119.75
Element x y z (fractional)
La 0.068 0.625 0.943
La 0.375 0.318 0.443
La 0.682 0.125 0.057
La 0.875 0.932 0.557
Fe 0.000 0.000 0.000
Fe 0.750 0.250 0.500
As 0.250 0.750 0.500
As 0.500 0.500 0.000

---

La2FeAs after structural relaxation, computed with PBE.

Results
The value obtained for the formation energy is -480.5 meV per atom. The spin magnetization is 1.35 μB/cell.

Unit cell a=6.489 b=6.489 c=6.489 alpha=145.98 beta=140.19 gamma=53.34
Element x y z (fractional)
La 0.000 0.000 0.000
La 0.728 0.228 0.500
Fe 0.454 0.454 0.000
As 0.313 0.813 0.500

---

La2FeAs after structural relaxation, computed with PBE.

Results
The value obtained for the formation energy is -364.0 meV per atom. The spin magnetization is 1.34 μB/cell.

Unit cell a=4.312 b=4.312 c=6.061 alpha=90.00 beta=90.00 gamma=90.00
Element x y z (fractional)
La 0.000 0.000 0.000
La 0.500 0.500 0.492
Fe 0.000 0.000 0.496
As 0.500 0.500 0.992

---

La2FeAs after structural relaxation, computed with PBE.

Results
The value obtained for the formation energy is -603.2 meV per atom. The spin magnetization is 1.14 μB/cell.

Unit cell a=4.251 b=6.030 c=6.030 alpha=40.83 beta=90.00 gamma=90.00
Element x y z (fractional)
La 0.000 0.000 0.000
La 0.500 0.276 0.276
Fe 0.000 0.705 0.705
As 0.500 0.572 0.572

---

La2FeAs after structural relaxation, computed with PBE.

Results
The value obtained for the formation energy is -166.7 meV per atom. The spin magnetization is 2.49 μB/cell.

Unit cell a=3.494 b=3.494 c=8.372 alpha=90.00 beta=90.00 gamma=90.00
Element x y z (fractional)
La 0.000 0.000 0.000
La 0.500 0.500 0.407
Fe 0.500 0.500 0.755
As 0.000 0.000 0.643

---

LaFe3As after structural relaxation, computed with PBE.

Results
The excess energy over the best structure of this formula in the dataset is 0 meV per atom. The value obtained for the formation energy is 222.0 meV per atom. The spin magnetization is 6.04 μB/cell.

Unit cell a=4.555 b=4.555 c=4.555 alpha=90.00 beta=90.00 gamma=90.00
Element x y z (fractional)
La 0.000 0.000 0.000
Fe 0.000 0.500 0.500
Fe 0.500 0.000 0.500
Fe 0.500 0.500 0.000
As 0.500 0.500 0.500